1.
## TbNdHg2 (PBE-GGA)

Data for a geometry-optimized TbNdHg2 structure.

Values from the calculation:
Its magnetization is 0.0 μB per formula unit. For the formation enthalpy at 0 K, the calculation gives -0.321 eV per atom. Its energy is -2.821 eV/atom.

Cell lengths 3.8579, 3.8579, 27.5338 Å; angles 90.00, 90.00, 120.00 degrees
Space group R3m (No. 160, hexagonal axes)
Inequivalent atoms, fractional coordinates:
Tb (0.0000, 0.0000, 0.0000) (multiplicity 3)
Nd (0.0000, 0.0000, 0.1663) (multiplicity 3)
Hg (0.0000, 0.0000, 0.5856) (multiplicity 3)
Hg (0.0000, 0.0000, 0.7474) (multiplicity 3)

=====

2.
## TbNd2Hg2 (PBE-GGA)

Data for a geometry-optimized TbNd2Hg2 structure.

Values from the calculation:
Its magnetization is 0.4 μB per formula unit. For the formation enthalpy at 0 K, the calculation gives -0.370 eV per atom. Its energy is -3.324 eV/atom.

Cell lengths 3.7989, 5.3971, 14.1948 Å; angles 90.00, 97.67, 90.00 degrees
Space group P2_1/m (No. 11)
Inequivalent atoms, fractional coordinates:
Tb (0.1474, 0.2500, 0.2925) (multiplicity 2)
Nd (0.0462, 0.7500, 0.0899) (multiplicity 2)
Nd (0.2331, 0.7500, 0.4685) (multiplicity 2)
Hg (0.3593, 0.2500, 0.7178) (multiplicity 2)
Hg (0.4442, 0.7500, 0.8911) (multiplicity 2)

=====

3.
## Tb4Nd5Hg (PBE-GGA)

Data for a geometry-optimized Tb4Nd5Hg structure.

Values from the calculation:
Its magnetization is 0.0 μB per formula unit. For the formation enthalpy at 0 K, the calculation gives 0.008 eV per atom. Its energy is -4.258 eV/atom.

Cell lengths 4.1622, 4.1622, 18.6973 Å; angles 90.00, 90.00, 90.00 degrees
Space group P4/mmm (No. 123)
Inequivalent atoms, fractional coordinates:
Tb (0.0000, 0.0000, 0.1016) (multiplicity 2)
Tb (0.0000, 0.0000, 0.3012) (multiplicity 2)
Nd (0.5000, 0.5000, 0.0000) (multiplicity 1)
Nd (0.5000, 0.5000, 0.2013) (multiplicity 2)
Nd (0.5000, 0.5000, 0.4093) (multiplicity 2)
Hg (0.0000, 0.0000, 0.5000) (multiplicity 1)

=====

4.
## Tb2Nd3Hg3 (PBE-GGA)

Data for a geometry-optimized Tb2Nd3Hg3 structure.

Values from the calculation:
Its magnetization is 0.6 μB per formula unit. For the formation enthalpy at 0 K, the calculation gives -0.355 eV per atom. Its energy is -3.414 eV/atom.

Cell lengths 3.7928, 5.4800, 22.4859 Å; angles 90.00, 90.00, 90.00 degrees
Space group Immm (No. 71)
Inequivalent atoms, fractional coordinates:
Tb (0.0000, 0.0000, 0.2335) (multiplicity 4)
Nd (0.0000, 0.0000, 0.0000) (multiplicity 2)
Nd (0.0000, 0.5000, 0.1221) (multiplicity 4)
Hg (0.0000, 0.0000, 0.5000) (multiplicity 2)
Hg (0.0000, 0.5000, 0.3777) (multiplicity 4)